Density functional theory data (PBE-GGA) for a relaxed structure of Na2LiHg7.

abc: 7.653 7.653 7.653
angles: 60.00 60.00 60.00
Element x y z (fractional)
Li  0.000  0.000  0.000
Hg  0.500  0.500  0.500
Hg  0.234  0.766  0.234
Hg  0.766  0.766  0.234
Hg  0.234  0.766  0.766
Hg  0.766  0.234  0.234
Hg  0.766  0.234  0.766
Hg  0.234  0.234  0.766
Na  0.250  0.250  0.250
Na  0.750  0.750  0.750

## Properties
calculated volume = 31.699 Å³/atom
density = 7.63 g cm⁻³
DOS at the Fermi energy = 0.357 states/eV/atom
excess energy over the best structure of this formula in the dataset = 0.1026 eV/atom
space-group type = Fm-3m
energy of formation from the pure elements = -0.0483 eV/atom